{"formula": "BaHgTeO", "functional": "GGA-PBE", "state": "optimized geometry", "cell": [[4.5447, 0.0000, 0.0000], [-2.2723, 3.9328, 0.0000], [0.0000, 0.0000, 13.4246]], "species": ["O", "O", "Te", "Te", "Ba", "Ba", "Hg", "Hg"], "fractional_positions": [[0.9998, 0.9997, 0.8123], [0.0002, 0.0003, 0.3123], [0.6666, 0.3333, 0.1418], [0.3334, 0.6667, 0.6418], [0.0000, 0.0000, 0.9856], [0.0000, 0.0000, 0.4856], [0.3332, 0.6664, 0.2480], [0.6668, 0.3336, 0.7480]], "sg": "No. 186", "de_polymorph_kj_per_mol_fu": 264, "dft_energy_ev_per_cell": -25.8}